1.
Al6Ga12W | PBE-GGA | relaxed

Summary:
* calculated volume: 1037.4 Å³ per cell
* density: 5.68 g/cm3
* energy of formation from the pure elements: 0.030 eV per atom

a b c (Å): 8.9964 8.9964 14.8004
angles (deg): 90.00 90.00 120.00
Space group R-3 (No. 148, hexagonal axes)
Asymmetric unit:
Al 0.0209 0.4965 0.3461 x18
Ga 0.0152 0.1833 0.8428 x18
Ga 0.1042 0.5474 0.0882 x18
W 0.0000 0.0000 0.0000 x3

2.
TbPr2YHo6 | PBE-GGA | relaxed

Summary:
* calculated volume: 1305.6 Å³ per cell
* density: 7.73 g/cm3
* energy of formation from the pure elements: 0.117 eV per atom

a b c (Å): 9.013 15.094 9.720
angles (deg): 90.00 99.11 90.00
Space group C2/c (No. 15)
Asymmetric unit:
Tb 0.000 0.094 0.250 x4
Pr 0.245 0.447 0.042 x8
Y 0.000 0.483 0.750 x4
Ho 0.065 0.309 0.443 x8
Ho 0.103 0.105 0.619 x8
Ho 0.199 0.276 0.812 x8

3.
TbDy10Tm4 | PBE-GGA | relaxed

Summary:
* calculated volume: 1103.9 Å³ per cell
* density: 7.40 g/cm3
* energy of formation from the pure elements: 0.720 eV per atom

a b c (Å): 12.040 12.040 7.615
angles (deg): 90.00 90.00 90.00
Space group I4/m (No. 87)
Asymmetric unit:
Tb 0.000 0.000 0.000 x2
Dy 0.000 0.500 0.250 x4
Dy 0.100 0.800 0.251 x16
Tm 0.100 0.301 0.500 x8

4.
Li6LaZn12 | PBE-GGA | relaxed

Summary:
* calculated volume: 948.9 Å³ per cell
* density: 5.07 g/cm3
* energy of formation from the pure elements: -0.058 eV per atom

a b c (Å): 11.2124 11.2124 8.7153
angles (deg): 90.00 90.00 120.00
Space group R-3m (No. 166, hexagonal axes)
Asymmetric unit:
Li 0.0444 0.5222 0.2512 x18
La 0.0000 0.0000 0.0000 x3
Zn 0.0000 0.3858 0.5000 x18
Zn 0.0869 0.1738 0.3160 x18